Computed, not measured: an optimized crystal structure of NdSm3Y4 at the GGA-PBE level of DFT.

Results
The calculation puts the formation energy at 18 meV per atom. The polymorph energy (0 for the lowest one) comes out at 0.000 eV per atom.

Lattice parameters (Å, degrees): 6.3474 7.3513 11.5278 90.00 90.00 90.00
Last column: nearest neighbours and their distance in Å.
Element x y z (fractional)
Y  0.9822  0.1236  0.2506  6 Y 3.56-3.66, 5 Sm 3.57-3.69, 1 Nd 3.59
Y  0.1466  0.8764  0.5000  6 Y 3.56-3.66, 4 Sm 3.58-3.69, 2 Nd 3.66-3.69
Y  0.6466  0.1236  0.0000  6 Y 3.56-3.66, 4 Sm 3.58-3.69, 2 Nd 3.66-3.69
Y  0.9822  0.1236  0.7494  6 Y 3.56-3.66, 5 Sm 3.57-3.69, 1 Nd 3.59
Y  0.6466  0.1235  0.5000  6 Y 3.57-3.66, 4 Sm 3.58-3.68, 2 Nd 3.66-3.69
Y  0.1466  0.8765  0.0000  6 Y 3.57-3.66, 4 Sm 3.58-3.68, 2 Nd 3.66-3.69
Y  0.4822  0.8764  0.7506  6 Y 3.56-3.66, 5 Sm 3.57-3.69, 1 Nd 3.59
Y  0.4822  0.8764  0.2494  6 Y 3.56-3.66, 5 Sm 3.57-3.69, 1 Nd 3.59
Sm  0.4797  0.3740  0.2499  2 Nd 3.56-3.59, 4 Sm 3.57-3.67, 6 Y 3.58-3.69
Sm  0.4797  0.3740  0.7501  2 Nd 3.56-3.59, 4 Sm 3.57-3.67, 6 Y 3.58-3.69
Sm  0.1489  0.3742  0.5000  4 Sm 3.57-3.59, 6 Y 3.57-3.69, 2 Nd 3.67
Sm  0.6489  0.6258  0.0000  4 Sm 3.57-3.59, 6 Y 3.57-3.69, 2 Nd 3.67
Sm  0.9797  0.6260  0.2501  2 Nd 3.56-3.59, 4 Sm 3.57-3.67, 6 Y 3.58-3.69
Sm  0.9797  0.6260  0.7499  2 Nd 3.56-3.59, 4 Sm 3.57-3.67, 6 Y 3.58-3.69
Nd  0.6493  0.6252  0.5000  6 Sm 3.56-3.67, 6 Y 3.59-3.69
Nd  0.1493  0.3748  0.0000  6 Sm 3.56-3.67, 6 Y 3.59-3.69